(1)
DFT (PBEsol) results for a geometry-optimized Li4Ni3SnO8 structure.

Properties
- Magnetic moment: 4.00 μB per cell
- Density of states at the Fermi level: 0.43 states/eV per atom
- V: 143.0 Å³/f.u.
- Uncorrected energy: -95.25 eV per cell

abc: 5.869 5.869 5.870
angles: 60.01 60.01 60.00
Last column: magnetic moment on the atom in μB.
Sites, in units of the cell vectors:
Ni (0.500, 0.500, 0.000)  0.99
Ni (0.500, 0.000, 0.000)  0.99
Ni (0.000, 0.500, 0.000)  0.99
Li (0.000, 0.000, 0.500)  0.01
Li (0.500, 0.500, 0.500)  0.00
Li (0.500, 0.000, 0.500)  0.01
Li (0.000, 0.500, 0.500)  0.01
O (0.752, 0.752, 0.239)  0.12
O (0.248, 0.743, 0.761)  0.12
O (0.732, 0.732, 0.804)  0.05
O (0.743, 0.248, 0.761)  0.12
O (0.257, 0.752, 0.239)  0.12
O (0.752, 0.257, 0.239)  0.12
O (0.248, 0.248, 0.761)  0.12
O (0.268, 0.268, 0.196)  0.05
Sn (0.000, 0.000, 0.000)  -0.01

(2)
DFT (PBEsol) results for a geometry-optimized Sr2GdSbO6 structure.

Properties
- Magnetic moment: 7.00 μB per cell
- Density of states at the Fermi level: 0.00 states/eV per atom
- V: 146.1 Å³/f.u.
- Uncorrected energy: -80.59 eV per cell

abc: 5.912 5.912 5.912
angles: 60.00 60.00 60.00
Last column: magnetic moment on the atom in μB.
Sites, in units of the cell vectors:
O (0.264, 0.264, 0.736)  0.00
O (0.736, 0.736, 0.264)  0.00
O (0.736, 0.264, 0.264)  0.00
O (0.264, 0.736, 0.264)  0.00
O (0.736, 0.264, 0.736)  0.00
O (0.264, 0.736, 0.736)  0.00
Sr (0.750, 0.750, 0.750)  0.00
Sr (0.250, 0.250, 0.250)  0.00
Sb (0.500, 0.500, 0.500)  0.01
Gd (0.000, 0.000, 0.000)  6.86